w | ## Sr2InPb (GGA-PBE)

Data for a geometry-optimized Sr2InPb structure.

a b c (Å): 4.0656 4.0656 9.2590
angles (deg): 90.00 90.00 89.91
Last column: nearest neighbours and their distance in Å.
Fractional positions:
In 0.0000 0.0000 0.5407  4 Pb 3.25, 4 Sr 3.59
Sr 0.0000 0.0000 0.9459  4 Pb 3.64, 1 In 3.75, 4 Sr 4.07
Sr 0.5000 0.5000 0.3089  4 In 3.59, 1 Pb 3.66
Pb 0.5000 0.5000 0.7045  4 In 3.25

Values from the calculation:
The value obtained for the total magnetic moment is 0.00 μB per formula unit.


x | ## Sr2InPb (GGA-PBE)

Data for a geometry-optimized Sr2InPb structure.

a b c (Å): 3.9799 4.2832 8.0567
angles (deg): 90.00 90.00 90.00
Last column: nearest neighbours and their distance in Å.
Fractional positions:
Pb 0.5000 0.5000 0.7500  8 Sr 3.55
Sr 0.0000 0.0000 0.4994  4 In 3.55, 4 Pb 3.55
Sr 0.0000 0.0000 0.0006  4 In 3.55, 4 Pb 3.55
In 0.5000 0.5000 0.2500  8 Sr 3.55

Values from the calculation:
The value obtained for the total magnetic moment is 0.00 μB per formula unit.


Stability ranking, top entry: x; the second entry is 22.4 kJ/mol of atoms less favorable.